Material: DyHoCuSi3
Method: DFT, GGA-PBE
State: optimized geometry

The space group is Fmmm (No. 69) and the conventional cell measures 7.9883, 8.0248 and 13.8369 Å, with angles of 90.00, 90.00 and 90.00 degrees. Symmetry generates all atoms from Dy at (0.0000, 0.2437, 0.0000), Ho at (0.2500, 0.2500, 0.2500), Cu at (0.0000, 0.0000, 0.3332), Si at (0.0000, 0.0000, 0.1688) and Si at (0.2444, 0.0000, 0.4154).

The size of the total moment is 0.000 μB per cell. As for the total energy: -5.59 eV/atom. The calculation puts the volume at 887 Å³ per cell.